A plane-wave DFT calculation with PBE-GGA was carried out for crystalline Ca2GaHRh at its relaxed geometry.

Unit cell a=4.971 b=4.971 c=3.683 alpha=90.00 beta=90.00 gamma=90.00
Fractional positions:
H 0.000 0.000 0.000
Ca 0.000 0.500 0.000
Ca 0.500 0.000 0.000
Rh 0.000 0.000 0.500
Ga 0.500 0.500 0.500

## Properties
Energy = -4.010 eV per atom
Total moment = 0.0 Bohr magnetons per cell
Density of states at the Fermi level = 0.315 states/eV per atom
Calculated volume = 91.0 Å³/cell